[1]
A geometry-optimized HfZrTe2N structure. Source: Alexandria via LeMat-Bulk, functional PBE.

a b c (Å): 5.6380 5.6380 3.9369
angles (deg): 90.00 90.00 90.00
Positions (direct):
Te: 0.0000 0.5000 0.0000
Te: 0.5000 0.0000 0.0000
Hf: 0.0000 0.0000 0.0000
Zr: 0.5000 0.5000 0.5000
N: 0.0000 0.0000 0.5000

polymorph energy (0 for the lowest one) = 0.000 eV per atom
raw formation energy = -0.0814 eV per atom
raw total energy = -6.70 eV/atom



[2]
A geometry-optimized HfZrTe2N structure. Source: Alexandria via LeMat-Bulk, functional PBE.

a b c (Å): 5.6719 5.6719 3.9556
angles (deg): 90.00 90.00 90.00
Positions (direct):
Te: 0.0000 0.5000 0.0000
Te: 0.5000 0.0000 0.0000
Hf: 0.5000 0.5000 0.5000
Zr: 0.0000 0.0000 0.0000
N: 0.0000 0.0000 0.5000

polymorph energy (0 for the lowest one) = 0.176 eV per atom
raw formation energy = 0.0944 eV per atom
raw total energy = -6.53 eV/atom



[3]
A geometry-optimized HfThN3 structure. Source: Alexandria via LeMat-Bulk, functional PBE.

a b c (Å): 3.3653 6.7484 6.2767
angles (deg): 96.47 90.00 90.00
Positions (direct):
Hf: 0.2500 0.8527 0.3277
Hf: 0.7500 0.1473 0.6723
Th: 0.2500 0.3592 0.2275
Th: 0.7500 0.6408 0.7725
N: 0.7500 0.6382 0.3873
N: 0.2500 0.3618 0.6127
N: 0.7500 0.3271 0.9672
N: 0.2500 0.9309 0.6818
N: 0.2500 0.6729 0.0328
N: 0.7500 0.0691 0.3182

raw formation energy = -1.2933 eV per atom
raw total energy = -9.76 eV/atom



[4]
A geometry-optimized Hf4ThN6 structure. Source: Alexandria via LeMat-Bulk, functional PBE.

a b c (Å): 3.2338 5.5672 16.2838
angles (deg): 90.00 90.00 106.88
Positions (direct):
Hf: 0.8653 0.7306 0.5455
Hf: 0.3986 0.7972 0.1312
Hf: 0.1347 0.2694 0.4545
Hf: 0.6014 0.2028 0.8688
Hf: 0.8653 0.7306 0.9545
Hf: 0.1347 0.2694 0.0455
Hf: 0.6014 0.2028 0.6312
Hf: 0.3986 0.7972 0.3688
Th: 0.6535 0.3069 0.2500
Th: 0.3465 0.6931 0.7500
N: 0.5000 0.0000 0.0000
N: 0.5000 0.0000 0.5000
N: 0.0376 0.0753 0.3413
N: 0.9624 0.9247 0.6587
N: 0.9624 0.9247 0.8413
N: 0.0376 0.0753 0.1587
N: 0.7688 0.5375 0.4150
N: 0.2312 0.4625 0.5850
N: 0.2312 0.4625 0.9150
N: 0.7688 0.5375 0.0850
N: 0.3221 0.6441 0.2500
N: 0.6779 0.3559 0.7500

raw formation energy = -1.7414 eV per atom
raw total energy = -10.58 eV/atom



[5]
A geometry-optimized Hf2ThTiN4 structure. Source: Alexandria via LeMat-Bulk, functional PBE.

a b c (Å): 3.2638 5.9623 11.2558
angles (deg): 90.00 90.00 105.88
Positions (direct):
Hf: 0.3703 0.7406 0.5389
Hf: 0.6297 0.2594 0.0389
Hf: 0.6297 0.2594 0.4611
Hf: 0.3703 0.7406 0.9611
Th: 0.1066 0.2133 0.7500
Th: 0.8934 0.7867 0.2500
Ti: 0.8428 0.6855 0.7500
Ti: 0.1572 0.3145 0.2500
N: 0.2620 0.5240 0.1135
N: 0.7380 0.4760 0.6135
N: 0.7380 0.4760 0.8865
N: 0.2620 0.5240 0.3865
N: 0.0000 0.0000 0.5000
N: 0.0000 0.0000 0.0000
N: 0.4487 0.8974 0.7500
N: 0.5513 0.1026 0.2500

raw formation energy = -1.4715 eV per atom
raw total energy = -10.04 eV/atom



[6]
A geometry-optimized HfTh2TiN5 structure. Source: Alexandria via LeMat-Bulk, functional PBE.

a b c (Å): 3.4233 7.0331 10.4809
angles (deg): 90.00 90.00 104.09
Positions (direct):
Hf: 0.7876 0.5752 0.5055
Hf: 0.2124 0.4248 0.0055
Th: 0.8581 0.7161 0.7922
Th: 0.1123 0.2246 0.6913
Th: 0.1419 0.2839 0.2922
Th: 0.8877 0.7754 0.1913
Ti: 0.5219 0.0439 0.9670
Ti: 0.4781 0.9561 0.4670
N: 0.3721 0.7442 0.0040
N: 0.6868 0.3737 0.8753
N: 0.4940 0.9880 0.7855
N: 0.2821 0.5642 0.6534
N: 0.9477 0.8954 0.5499
N: 0.6279 0.2558 0.5040
N: 0.3132 0.6263 0.3753
N: 0.5060 0.0120 0.2855
N: 0.7179 0.4358 0.1534
N: 0.0523 0.1046 0.0499

raw formation energy = -1.6066 eV per atom
raw total energy = -9.86 eV/atom



[7]
A geometry-optimized HfThTiN3 structure. Source: Alexandria via LeMat-Bulk, functional PBE.

a b c (Å): 3.2138 6.9525 8.2462
angles (deg): 95.38 90.00 90.00
Positions (direct):
Hf: 0.2500 0.6354 0.1324
Hf: 0.7500 0.3646 0.8676
Th: 0.7500 0.8559 0.8174
Th: 0.2500 0.1441 0.1826
Ti: 0.2500 0.1464 0.5789
Ti: 0.7500 0.8536 0.4211
N: 0.2500 0.8529 0.5764
N: 0.7500 0.8529 0.1455
N: 0.7500 0.4096 0.1259
N: 0.7500 0.1471 0.4236
N: 0.2500 0.5904 0.8741
N: 0.2500 0.1471 0.8545

raw formation energy = -1.4035 eV per atom
raw total energy = -9.78 eV/atom



[8]
A geometry-optimized TmHfTh2N4 structure. Source: Alexandria via LeMat-Bulk, functional PBE.

a b c (Å): 3.4270 5.9581 6.1295
angles (deg): 108.76 90.00 90.00
Positions (direct):
Tm: 0.5000 0.5000 0.0000
Hf: 0.0000 0.0000 0.0000
Th: 0.5000 0.0000 0.5000
Th: 0.0000 0.5000 0.5000
N: 0.5000 0.2271 0.2157
N: 0.5000 0.7729 0.7843
N: 0.0000 0.2455 0.7782
N: 0.0000 0.7545 0.2218

raw formation energy = -1.6307 eV per atom
raw total energy = -9.45 eV/atom



[9]
A geometry-optimized HfThU2N4 structure. Source: Alexandria via LeMat-Bulk, functional PBE.

a b c (Å): 3.4110 6.0489 5.8911
angles (deg): 108.74 90.00 90.00
Positions (direct):
Hf: 0.0000 0.0000 0.0000
Th: 0.5000 0.5000 0.0000
U: 0.5000 0.0000 0.5000
U: 0.0000 0.5000 0.5000
N: 0.5000 0.2191 0.2393
N: 0.5000 0.7809 0.7607
N: 0.0000 0.2162 0.7444
N: 0.0000 0.7838 0.2556

raw formation energy = -1.4482 eV per atom
raw total energy = -10.60 eV/atom



[10]
A geometry-optimized HfTh2VN5 structure. Source: Alexandria via LeMat-Bulk, functional PBE.

a b c (Å): 3.4021 7.0039 10.3894
angles (deg): 90.00 90.00 104.06
Positions (direct):
Hf: 0.7918 0.5836 0.5081
Hf: 0.2082 0.4164 0.0081
Th: 0.8576 0.7153 0.8018
Th: 0.1118 0.2236 0.6882
Th: 0.1424 0.2847 0.3018
Th: 0.8882 0.7764 0.1882
V: 0.5245 0.0489 0.9632
V: 0.4755 0.9511 0.4632
N: 0.3673 0.7347 0.0018
N: 0.6820 0.3639 0.8753
N: 0.4920 0.9841 0.7870
N: 0.2846 0.5691 0.6561
N: 0.9544 0.9088 0.5425
N: 0.6327 0.2653 0.5018
N: 0.3180 0.6361 0.3753
N: 0.5080 0.0159 0.2870
N: 0.7154 0.4309 0.1561
N: 0.0456 0.0912 0.0425

raw formation energy = -1.4725 eV per atom
raw total energy = -9.87 eV/atom



[11]
A geometry-optimized HfTh2WN6 structure. Source: Alexandria via LeMat-Bulk, functional PBE.

a b c (Å): 4.9235 5.4863 5.4863
angles (deg): 90.00 90.00 90.00
Positions (direct):
Hf: 0.5788 0.5000 0.5000
Th: 0.0059 0.5000 0.0000
Th: 0.0059 0.0000 0.5000
W: 0.5866 0.0000 0.0000
N: 0.7218 0.2413 0.2413
N: 0.7218 0.2413 0.7587
N: 0.1698 0.5000 0.5000
N: 0.2127 0.0000 0.0000
N: 0.7218 0.7587 0.7587
N: 0.7218 0.7587 0.2413

raw formation energy = -1.2978 eV per atom
raw total energy = -10.07 eV/atom



[12]
A geometry-optimized YHfTh2N4 structure. Source: Alexandria via LeMat-Bulk, functional PBE.

a b c (Å): 3.4526 6.0152 6.1354
angles (deg): 108.85 90.00 90.00
Positions (direct):
Y: 0.5000 0.5000 0.0000
Hf: 0.0000 0.0000 0.0000
Th: 0.5000 0.0000 0.5000
Th: 0.0000 0.5000 0.5000
N: 0.5000 0.2244 0.2185
N: 0.5000 0.7756 0.7815
N: 0.0000 0.2392 0.7731
N: 0.0000 0.7608 0.2269

raw formation energy = -1.5978 eV per atom
raw total energy = -9.67 eV/atom



[13]
A geometry-optimized Hf5TiN6 structure. Source: Alexandria via LeMat-Bulk, functional PBE.

a b c (Å): 5.5170 5.5170 5.5066
angles (deg): 99.51 99.51 120.18
Positions (direct):
N: 0.9176 0.5844 0.7513
N: 0.4156 0.0824 0.2487
N: 0.7506 0.7506 0.2485
N: 0.2494 0.2494 0.7515
N: 0.5844 0.9176 0.7513
N: 0.0824 0.4156 0.2487
Hf: 0.8358 0.1642 0.5000
Hf: 0.6662 0.3338 0.0000
Hf: 0.5000 0.5000 0.5000
Hf: 0.3338 0.6662 0.0000
Hf: 0.1642 0.8358 0.5000
Ti: 0.0000 0.0000 0.0000

raw formation energy = -1.7470 eV per atom
raw total energy = -10.71 eV/atom



[14]
A geometry-optimized Hf2Ti3N2 structure. Source: Alexandria via LeMat-Bulk, functional PBE.

a b c (Å): 3.0202 5.5241 7.7179
angles (deg): 124.33 90.00 105.86
Positions (direct):
Hf: 0.8216 0.6433 0.2295
Hf: 0.1784 0.3567 0.7705
Ti: 0.5000 0.0000 0.0000
Ti: 0.6195 0.2390 0.4030
Ti: 0.3805 0.7610 0.5970
N: 0.8244 0.6488 0.7438
N: 0.1756 0.3512 0.2562

raw formation energy = -0.7670 eV per atom
raw total energy = -9.37 eV/atom



[15]
A geometry-optimized Hf3Ti2N4 structure. Source: Alexandria via LeMat-Bulk, functional PBE.

a b c (Å): 3.1164 5.3526 7.6264
angles (deg): 107.34 90.00 106.92
Positions (direct):
Hf: 0.3783 0.7567 0.6360
Hf: 0.0000 0.0000 0.0000
Hf: 0.6217 0.2433 0.3640
Ti: 0.3193 0.6385 0.1780
Ti: 0.6807 0.3615 0.8220
N: 0.6613 0.3226 0.0969
N: 0.0305 0.0610 0.7209
N: 0.9695 0.9390 0.2791
N: 0.3387 0.6774 0.9031

raw formation energy = -1.3961 eV per atom
raw total energy = -10.17 eV/atom



[16]
A geometry-optimized HfTiN2 structure. Source: Alexandria via LeMat-Bulk, functional PBE.

a b c (Å): 4.7562 4.7562 5.8366
angles (deg): 65.96 65.96 90.00
Positions (direct):
N: 0.6107 0.1250 0.2500
N: 0.1393 0.6250 0.2500
N: 0.3750 0.3893 0.7500
N: 0.8750 0.8607 0.7500
Hf: 0.0000 0.0000 0.0000
Hf: 0.7500 0.2500 0.5000
Ti: 0.5000 0.5000 0.0000
Ti: 0.2500 0.7500 0.5000

raw formation energy = -1.4374 eV per atom
raw total energy = -10.06 eV/atom



[17]
A geometry-optimized HfTi2N structure. Source: Alexandria via LeMat-Bulk, functional PBE.

a b c (Å): 6.0498 6.0498 5.8345
angles (deg): 58.77 58.77 90.00
Positions (direct):
N: 0.5000 0.5000 0.0000
N: 0.2500 0.7500 0.5000
Hf: 0.0000 0.0000 0.0000
Hf: 0.7500 0.2500 0.5000
Ti: 0.4717 0.1250 0.2500
Ti: 0.2783 0.6250 0.2500
Ti: 0.3750 0.5283 0.7500
Ti: 0.8750 0.7217 0.7500

raw formation energy = -0.3023 eV per atom
raw total energy = -8.82 eV/atom



[18]
A geometry-optimized HfTiN structure. Source: Alexandria via LeMat-Bulk, functional PBE.

a b c (Å): 4.9816 3.1365 3.1365
angles (deg): 120.00 90.00 90.00
Positions (direct):
N: 0.0120 0.0000 0.0000
Hf: 0.7494 0.6667 0.3333
Ti: 0.2386 0.3333 0.6667

polymorph energy (0 for the lowest one) = 0.032 eV per atom
raw formation energy = -1.2188 eV per atom
raw total energy = -9.94 eV/atom



[19]
A geometry-optimized HfTi3N4 structure. Source: Alexandria via LeMat-Bulk, functional PBE.

a b c (Å): 3.0714 5.3061 5.3061
angles (deg): 109.45 90.00 90.00
Positions (direct):
Hf: 0.5000 0.0000 0.0000
Ti: 0.0000 0.0000 0.5000
Ti: 0.5000 0.5000 0.5000
Ti: 0.0000 0.5000 0.0000
N: 0.0000 0.2566 0.2566
N: 0.5000 0.7466 0.2534
N: 0.0000 0.7434 0.7434
N: 0.5000 0.2534 0.7466

raw formation energy = -1.7114 eV per atom
raw total energy = -10.08 eV/atom



[20]
A geometry-optimized HfTiN2 structure. Source: Alexandria via LeMat-Bulk, functional PBE.

a b c (Å): 3.1047 3.1047 10.3299
angles (deg): 90.00 90.00 120.00
Positions (direct):
Hf: 0.0000 0.0000 0.5000
Hf: 0.0000 0.0000 0.0000
Ti: 0.6667 0.3333 0.2500
Ti: 0.3333 0.6667 0.7500
N: 0.3333 0.6667 0.3762
N: 0.6667 0.3333 0.8762
N: 0.6667 0.3333 0.6238
N: 0.3333 0.6667 0.1238

raw formation energy = -1.7085 eV per atom
raw total energy = -10.33 eV/atom



[21]
A geometry-optimized Hf2TiN3 structure. Source: Alexandria via LeMat-Bulk, functional PBE.

a b c (Å): 4.4419 6.3386 5.4612
angles (deg): 106.89 114.00 90.00
Positions (direct):
Hf: 0.6642 0.5819 0.3284
Hf: 0.6642 0.0819 0.3284
Hf: 0.3358 0.9181 0.6716
Hf: 0.3358 0.4181 0.6716
Ti: 0.0000 0.7500 0.0000
Ti: 0.0000 0.2500 0.0000
N: 0.5000 0.2500 0.0000
N: 0.5000 0.7500 0.0000
N: 0.1659 0.0831 0.3318
N: 0.8341 0.4169 0.6682
N: 0.1659 0.5831 0.3318
N: 0.8341 0.9169 0.6682

polymorph energy (0 for the lowest one) = 0.007 eV per atom
raw formation energy = -1.7345 eV per atom
raw total energy = -10.53 eV/atom



[22]
A geometry-optimized HfTi5N5 structure. Source: Alexandria via LeMat-Bulk, functional PBE.

a b c (Å): 4.3247 5.2865 6.0739
angles (deg): 106.90 90.00 114.14
Positions (direct):
Hf: 0.0000 0.0000 0.0000
Ti: 0.6776 0.3553 0.3335
Ti: 0.6732 0.3465 0.8413
Ti: 0.0000 0.0000 0.5000
Ti: 0.3268 0.6535 0.1587
Ti: 0.3224 0.6447 0.6665
N: 0.8325 0.6650 0.1707
N: 0.8319 0.6639 0.6602
N: 0.5000 0.0000 0.0000
N: 0.1681 0.3361 0.3398
N: 0.1675 0.3350 0.8293

raw formation energy = -1.6333 eV per atom
raw total energy = -9.91 eV/atom